# FeCoReNi (PBE, optimized geometry)
# Energy of formation from the pure elements ... 0.151 eV per atom
# Crystal system ... cubic
# Symmetry ... F-43m
# Theoretical density ... 12.60 Mg/m³
data_FeCoReNi
_symmetry_space_group_name_H-M 'P 1'
_symmetry_Int_Tables_number 1
_cell_length_a 4.062
_cell_length_b 4.062
_cell_length_c 4.062
_cell_angle_alpha 60.00
_cell_angle_beta 60.00
_cell_angle_gamma 60.00
loop_
_symmetry_equiv_pos_as_xyz
'x,y,z'
loop_
_atom_site_label
_atom_site_fract_x
_atom_site_fract_y
_atom_site_fract_z
Fe1 0.750 0.750 0.750
Ni1 0.000 0.000 0.000
Re1 0.500 0.500 0.500
Co1 0.250 0.250 0.250



# Fe2CoReNi (PBE, optimized geometry)
# Energy of formation from the pure elements ... 1.835 eV per atom
# Crystal system ... tetragonal
# Symmetry ... P4/mmm
# Theoretical density ... 9.35 Mg/m³
data_Fe2CoReNi
_symmetry_space_group_name_H-M 'P 1'
_symmetry_Int_Tables_number 1
_cell_length_a 4.117
_cell_length_b 4.355
_cell_length_c 4.117
_cell_angle_alpha 90.00
_cell_angle_beta 90.00
_cell_angle_gamma 90.00
loop_
_symmetry_equiv_pos_as_xyz
'x,y,z'
loop_
_atom_site_label
_atom_site_fract_x
_atom_site_fract_y
_atom_site_fract_z
Re1 0.000 0.500 0.000
Ni1 0.000 0.000 0.000
Fe1 0.000 0.000 0.500
Fe2 0.500 0.000 0.000
Co1 0.500 0.500 0.500



# FeCoNiRu (PBE, optimized geometry)
# Energy of formation from the pure elements ... 0.216 eV per atom
# Crystal system ... cubic
# Symmetry ... F-43m
# Theoretical density ... 9.22 Mg/m³
data_FeCoNiRu
_symmetry_space_group_name_H-M 'P 1'
_symmetry_Int_Tables_number 1
_cell_length_a 4.119
_cell_length_b 4.119
_cell_length_c 4.119
_cell_angle_alpha 60.00
_cell_angle_beta 60.00
_cell_angle_gamma 60.00
loop_
_symmetry_equiv_pos_as_xyz
'x,y,z'
loop_
_atom_site_label
_atom_site_fract_x
_atom_site_fract_y
_atom_site_fract_z
Ni1 0.750 0.750 0.750
Co1 0.000 0.000 0.000
Fe1 0.500 0.500 0.500
Ru1 0.250 0.250 0.250



# FeCoNi4S8 (PBE, optimized geometry)
# Crystal system ... cubic
# Formation energy from raw total energies ... -372 meV per atom
# Symmetry ... F-43m
# Theoretical density ... 4.87 Mg/m³
data_FeCoNi4S8
_symmetry_space_group_name_H-M 'P 1'
_symmetry_Int_Tables_number 1
_cell_length_a 6.635
_cell_length_b 6.635
_cell_length_c 6.635
_cell_angle_alpha 60.00
_cell_angle_beta 60.00
_cell_angle_gamma 60.00
loop_
_symmetry_equiv_pos_as_xyz
'x,y,z'
loop_
_atom_site_label
_atom_site_fract_x
_atom_site_fract_y
_atom_site_fract_z
S1 0.119 0.119 0.643
S2 0.119 0.643 0.119
S3 0.643 0.119 0.119
S4 0.630 0.630 0.630
S5 0.119 0.119 0.119
S6 0.630 0.630 0.110
S7 0.110 0.630 0.630
S8 0.630 0.110 0.630
Co1 0.250 0.250 0.250
Ni1 0.875 0.375 0.875
Ni2 0.875 0.875 0.375
Ni3 0.375 0.875 0.875
Ni4 0.875 0.875 0.875
Fe1 0.500 0.500 0.500



# Sc2Fe2Co5Ni (PBE, optimized geometry)
# Energy of formation from the pure elements ... -0.024 eV per atom
# Crystal system ... tetragonal
# Symmetry ... P4/mbm
# Theoretical density ... 6.97 Mg/m³
data_Sc2Fe2Co5Ni
_symmetry_space_group_name_H-M 'P 1'
_symmetry_Int_Tables_number 1
_cell_length_a 3.696
_cell_length_b 8.457
_cell_length_c 8.457
_cell_angle_alpha 90.00
_cell_angle_beta 90.00
_cell_angle_gamma 90.00
loop_
_symmetry_equiv_pos_as_xyz
'x,y,z'
loop_
_atom_site_label
_atom_site_fract_x
_atom_site_fract_y
_atom_site_fract_z
Co1 0.500 0.700 0.442
Co2 0.500 0.442 0.300
Co3 0.500 0.000 0.500
Co4 0.500 0.500 0.000
Co5 0.500 0.942 0.200
Co6 0.500 0.200 0.058
Co7 0.500 0.058 0.800
Co8 0.500 0.800 0.942
Co9 0.500 0.300 0.558
Co10 0.500 0.558 0.700
Sc1 0.000 0.318 0.818
Sc2 0.000 0.182 0.318
Sc3 0.000 0.682 0.182
Sc4 0.000 0.818 0.682
Ni1 0.000 0.500 0.500
Ni2 0.000 0.000 0.000
Fe1 0.000 0.384 0.116
Fe2 0.000 0.116 0.616
Fe3 0.000 0.616 0.884
Fe4 0.000 0.884 0.384



# ScFeCoNi (PBE, optimized geometry)
# Energy of formation from the pure elements ... -0.148 eV per atom
# Crystal system ... cubic
# Symmetry ... F-43m
# Theoretical density ... 6.75 Mg/m³
data_ScFeCoNi
_symmetry_space_group_name_H-M 'P 1'
_symmetry_Int_Tables_number 1
_cell_length_a 4.237
_cell_length_b 4.237
_cell_length_c 4.237
_cell_angle_alpha 60.00
_cell_angle_beta 60.00
_cell_angle_gamma 60.00
loop_
_symmetry_equiv_pos_as_xyz
'x,y,z'
loop_
_atom_site_label
_atom_site_fract_x
_atom_site_fract_y
_atom_site_fract_z
Co1 0.500 0.500 0.500
Ni1 0.000 0.000 0.000
Fe1 0.750 0.750 0.750
Sc1 0.250 0.250 0.250



# Fe2CoNiSe6 (PBE, optimized geometry)
# Crystal system ... monoclinic
# Formation energy from raw total energies ... -161 meV per atom
# Symmetry ... C2/c
# Theoretical density ... 6.13 Mg/m³
data_Fe2CoNiSe6
_symmetry_space_group_name_H-M 'P 1'
_symmetry_Int_Tables_number 1
_cell_length_a 6.160
_cell_length_b 7.961
_cell_length_c 7.961
_cell_angle_alpha 84.93
_cell_angle_beta 81.38
_cell_angle_gamma 81.38
loop_
_symmetry_equiv_pos_as_xyz
'x,y,z'
loop_
_atom_site_label
_atom_site_fract_x
_atom_site_fract_y
_atom_site_fract_z
Se1 0.125 0.974 0.811
Se2 0.376 0.881 0.357
Se3 0.876 0.357 0.881
Se4 0.624 0.119 0.643
Se5 0.375 0.189 0.026
Se6 0.870 0.721 0.531
Se7 0.130 0.279 0.469
Se8 0.630 0.469 0.279
Se9 0.370 0.531 0.721
Se10 0.625 0.811 0.974
Se11 0.875 0.026 0.189
Se12 0.124 0.643 0.119
Ni1 0.250 0.255 0.745
Ni2 0.750 0.745 0.255
Fe1 0.692 0.603 0.776
Fe2 0.808 0.224 0.397
Fe3 0.308 0.397 0.224
Fe4 0.192 0.776 0.603
Co1 0.250 0.910 0.090
Co2 0.750 0.090 0.910



# FeCoNi2Te6 (PBE, optimized geometry)
# Crystal system ... monoclinic
# Formation energy from raw total energies ... -86 meV per atom
# Symmetry ... C2/c
# Theoretical density ... 7.24 Mg/m³
data_FeCoNi2Te6
_symmetry_space_group_name_H-M 'P 1'
_symmetry_Int_Tables_number 1
_cell_length_a 6.561
_cell_length_b 8.443
_cell_length_c 8.443
_cell_angle_alpha 83.62
_cell_angle_beta 82.35
_cell_angle_gamma 82.35
loop_
_symmetry_equiv_pos_as_xyz
'x,y,z'
loop_
_atom_site_label
_atom_site_fract_x
_atom_site_fract_y
_atom_site_fract_z
Ni1 0.195 0.780 0.602
Ni2 0.695 0.602 0.780
Ni3 0.305 0.398 0.220
Ni4 0.805 0.220 0.398
Co1 0.750 0.086 0.914
Co2 0.250 0.914 0.086
Te1 0.393 0.885 0.354
Te2 0.895 0.683 0.523
Te3 0.880 0.021 0.194
Te4 0.380 0.194 0.021
Te5 0.893 0.354 0.885
Te6 0.395 0.523 0.683
Te7 0.107 0.646 0.115
Te8 0.620 0.806 0.979
Te9 0.120 0.979 0.806
Te10 0.105 0.317 0.477
Te11 0.607 0.115 0.646
Te12 0.605 0.477 0.317
Fe1 0.750 0.741 0.259
Fe2 0.250 0.259 0.741